Compound: NdFe2Co3
Source: the Alexandria database
Functional: PBE
Structure: relaxed

Properties
- magnetization (μB per cell) = 27.3
- DOS(E_F) (states/eV per cell) = 30.396
- total DFT energy (no corrections) (eV/atom) = -7.15

```
data_NdFe2Co3
_chemical_formula_sum 'Nd4 Fe8 Co12'
_cell_length_a 9.6875
_cell_length_b 7.9228
_cell_length_c 4.6815
_cell_angle_alpha 90.00
_cell_angle_beta 90.00
_cell_angle_gamma 90.00
_space_group_name_H-M_alt 'C m c m'
_space_group_IT_number 63
_space_group_name_Hall '-C 2c 2'
loop_
_atom_site_label
_atom_site_type_symbol
_atom_site_fract_x
_atom_site_fract_y
_atom_site_fract_z
Nd1 Nd 0.0000 0.1847 0.2500
Fe1 Fe 0.2115 0.5000 0.0000
Co1 Co 0.0000 0.4346 0.7500
Co2 Co 0.2010 0.2385 0.7500
```

=====

Compound: CdCoPt
Source: the Alexandria database
Functional: PBE
Structure: relaxed

Properties
- magnetization (μB per cell) = 1.9
- DOS(E_F) (states/eV per cell) = 4.719
- total DFT energy (no corrections) (eV/atom) = -4.62

```
data_CdCoPt
_chemical_formula_sum 'Cd1 Co1 Pt1'
_cell_length_a 4.4200
_cell_length_b 4.4200
_cell_length_c 2.8131
_cell_angle_alpha 90.00
_cell_angle_beta 90.00
_cell_angle_gamma 120.00
_space_group_name_H-M_alt 'P -6 m 2'
_space_group_IT_number 187
_space_group_name_Hall 'P -6 2'
loop_
_atom_site_label
_atom_site_type_symbol
_atom_site_fract_x
_atom_site_fract_y
_atom_site_fract_z
Cd1 Cd 0.0000 0.0000 0.0000
Co1 Co 0.6667 0.3333 0.5000
Pt1 Pt 0.3333 0.6667 0.5000
```

=====

Compound: Sr2MgCuO4
Source: the Alexandria database
Functional: PBE
Structure: relaxed

Properties
- magnetization (μB per cell) = 2.0
- formation energy without anion corrections (eV/atom) = -2.035
- total DFT energy (no corrections) (eV/atom) = -5.65

```
data_Sr2MgCuO4
_chemical_formula_sum 'Sr4 Mg2 Cu2 O8'
_cell_length_a 5.8346
_cell_length_b 5.8346
_cell_length_c 6.7326
_cell_angle_alpha 90.00
_cell_angle_beta 90.00
_cell_angle_gamma 90.00
_space_group_name_H-M_alt 'I -4'
_space_group_IT_number 82
_space_group_name_Hall 'I -4'
loop_
_atom_site_label
_atom_site_type_symbol
_atom_site_fract_x
_atom_site_fract_y
_atom_site_fract_z
Sr1 Sr 0.0000 0.0000 0.0000
Sr2 Sr 0.0000 0.5000 0.2500
Mg1 Mg 0.0000 0.5000 0.7500
Cu1 Cu 0.0000 0.0000 0.5000
O1 O 0.1805 0.7361 0.5997
```

=====

Compound: AlCrCo2
Source: the Alexandria database
Functional: PBE
Structure: relaxed

Properties
- magnetization (μB per cell) = 2.0
- DOS(E_F) (states/eV per cell) = 4.501
- total DFT energy (no corrections) (eV/atom) = -6.95

```
data_AlCrCo2
_chemical_formula_sum 'Al1 Cr1 Co2'
_cell_length_a 2.5664
_cell_length_b 3.6272
_cell_length_c 5.0227
_cell_angle_alpha 90.00
_cell_angle_beta 90.00
_cell_angle_gamma 90.00
_space_group_name_H-M_alt 'P m m 2'
_space_group_IT_number 25
_space_group_name_Hall 'P 2 -2'
loop_
_atom_site_label
_atom_site_type_symbol
_atom_site_fract_x
_atom_site_fract_y
_atom_site_fract_z
Al1 Al 0.0000 0.0000 0.0000
Cr1 Cr 0.5000 0.5000 0.7015
Co1 Co 0.0000 0.0000 0.4988
Co2 Co 0.5000 0.5000 0.2162
```

=====

Compound: BaPrPaO6
Source: the Alexandria database
Functional: PBE
Structure: relaxed

Properties
- magnetization (μB per cell) = 2.0
- formation energy without anion corrections (eV/atom) = -2.657
- DOS(E_F) (states/eV per cell) = 7.668
- total DFT energy (no corrections) (eV/atom) = -7.76

```
data_BaPrPaO6
_chemical_formula_sum 'Ba1 Pr1 Pa1 O6'
_cell_length_a 6.2760
_cell_length_b 6.2760
_cell_length_c 4.8065
_cell_angle_alpha 90.00
_cell_angle_beta 90.00
_cell_angle_gamma 120.00
_space_group_name_H-M_alt 'P 3 1 2'
_space_group_IT_number 149
_space_group_name_Hall 'P 3 2'
loop_
_atom_site_label
_atom_site_type_symbol
_atom_site_fract_x
_atom_site_fract_y
_atom_site_fract_z
Ba1 Ba 0.0000 0.0000 0.0000
Pr1 Pr 0.6667 0.3333 0.0000
Pa1 Pa 0.3333 0.6667 0.5000
O1 O 0.0230 0.3914 0.7433
```

=====

Compound: OsRu2S
Source: the Alexandria database
Functional: PBE
Structure: relaxed

Properties
- magnetization (μB per cell) = 0.0
- formation energy without anion corrections (eV/atom) = 0.199
- DOS(E_F) (states/eV per cell) = 5.606
- total DFT energy (no corrections) (eV/atom) = -8.28

```
data_OsRu2S
_chemical_formula_sum 'Os2 Ru4 S2'
_cell_length_a 10.1429
_cell_length_b 2.8412
_cell_length_c 3.8638
_cell_angle_alpha 90.00
_cell_angle_beta 94.12
_cell_angle_gamma 90.00
_space_group_name_H-M_alt 'C 1 m 1'
_space_group_IT_number 8
_space_group_name_Hall 'C -2y'
loop_
_atom_site_label
_atom_site_type_symbol
_atom_site_fract_x
_atom_site_fract_y
_atom_site_fract_z
Os1 Os 0.0000 0.0000 0.0000
Ru1 Ru 0.2334 0.5000 0.9410
Ru2 Ru 0.3734 0.0000 0.4664
S1 S 0.1480 0.0000 0.4987
```

=====

Compound: SrTl
Source: the Alexandria database
Functional: PBE
Structure: relaxed

Properties
- magnetization (μB per cell) = 0.0
- DOS(E_F) (states/eV per cell) = 9.421
- total DFT energy (no corrections) (eV/atom) = -2.30

```
data_SrTl
_chemical_formula_sum 'Sr6 Tl6'
_cell_length_a 9.9153
_cell_length_b 9.9153
_cell_length_c 5.6017
_cell_angle_alpha 90.00
_cell_angle_beta 90.00
_cell_angle_gamma 120.00
_space_group_name_H-M_alt 'P 63/m m c'
_space_group_IT_number 194
_space_group_name_Hall '-P 6c 2c'
loop_
_atom_site_label
_atom_site_type_symbol
_atom_site_fract_x
_atom_site_fract_y
_atom_site_fract_z
Sr1 Sr 0.1838 0.3676 0.2500
Tl1 Tl 0.1198 0.5599 0.7500
```

=====

Compound: PbINO2
Source: the Alexandria database
Functional: PBE
Structure: relaxed

Properties
- magnetization (μB per cell) = 0.0
- formation energy without anion corrections (eV/atom) = 0.956
- DOS(E_F) (states/eV per cell) = 3.253
- total DFT energy (no corrections) (eV/atom) = -3.74

```
data_PbINO2
_chemical_formula_sum 'Pb1 I1 N1 O2'
_cell_length_a 4.3850
_cell_length_b 4.3850
_cell_length_c 4.1722
_cell_angle_alpha 90.00
_cell_angle_beta 90.00
_cell_angle_gamma 90.00
_space_group_name_H-M_alt 'P 4/m m m'
_space_group_IT_number 123
_space_group_name_Hall '-P 4 2'
loop_
_atom_site_label
_atom_site_type_symbol
_atom_site_fract_x
_atom_site_fract_y
_atom_site_fract_z
Pb1 Pb 0.0000 0.0000 0.0000
I1 I 0.5000 0.5000 0.0000
N1 N 0.5000 0.5000 0.5000
O1 O 0.0000 0.5000 0.5000
```

=====

Compound: TiNbO
Source: the Alexandria database
Functional: PBE
Structure: relaxed

Properties
- magnetization (μB per cell) = 0.0
- formation energy without anion corrections (eV/atom) = -0.426
- DOS(E_F) (states/eV per cell) = 4.791
- total DFT energy (no corrections) (eV/atom) = -8.07

```
data_TiNbO
_chemical_formula_sum 'Ti2 Nb2 O2'
_cell_length_a 3.7041
_cell_length_b 3.7041
_cell_length_c 6.1013
_cell_angle_alpha 90.00
_cell_angle_beta 90.00
_cell_angle_gamma 90.00
_space_group_name_H-M_alt 'P 4/n m m'
_space_group_IT_number 129
loop_
_space_group_symop_operation_xyz
'x,y,z'
'-x,-y,-z'
'-y+1/2,x,z'
'y+1/2,-x,-z'
'-x+1/2,-y+1/2,z'
'x+1/2,y+1/2,-z'
'y,-x+1/2,z'
'-y,x+1/2,-z'
'x+1/2,-y,-z'
'-x+1/2,y,z'
'-y,-x,-z'
'y,x,z'
'-x,y+1/2,-z'
'x,-y+1/2,z'
'y+1/2,x+1/2,-z'
'-y+1/2,-x+1/2,z'
loop_
_atom_site_label
_atom_site_type_symbol
_atom_site_fract_x
_atom_site_fract_y
_atom_site_fract_z
Ti1 Ti 0.2500 0.2500 0.1097
Nb1 Nb 0.2500 0.7500 0.5000
O1 O 0.2500 0.2500 0.7615
```

=====

Compound: Ba2Mg5Cd3
Source: the Alexandria database
Functional: PBE
Structure: relaxed

Properties
- magnetization (μB per cell) = 0.0
- DOS(E_F) (states/eV per cell) = 6.946
- total DFT energy (no corrections) (eV/atom) = -1.59

```
data_Ba2Mg5Cd3
_chemical_formula_sum 'Ba2 Mg5 Cd3'
_cell_length_a 4.7786
_cell_length_b 4.7786
_cell_length_c 13.3671
_cell_angle_alpha 90.00
_cell_angle_beta 90.00
_cell_angle_gamma 90.00
_space_group_name_H-M_alt 'P -4 m 2'
_space_group_IT_number 115
_space_group_name_Hall 'P -4 -2'
loop_
_atom_site_label
_atom_site_type_symbol
_atom_site_fract_x
_atom_site_fract_y
_atom_site_fract_z
Ba1 Ba 0.0000 0.5000 0.2419
Mg1 Mg 0.0000 0.0000 0.5000
Mg2 Mg 0.0000 0.5000 0.6433
Mg3 Mg 0.5000 0.5000 0.0000
Mg4 Mg 0.5000 0.5000 0.5000
Cd1 Cd 0.0000 0.0000 0.0000
Cd2 Cd 0.0000 0.5000 0.8643
```